# 1
# NaLiIn2I4

An optimized crystal structure of NaLiIn2I4 (GGA-PBE, Alexandria).

```
data_NaLiIn2I4
_chemical_formula_sum 'Na1 Li1 In2 I4'
_symmetry_space_group_name_H-M 'P 1'
_symmetry_Int_Tables_number 1
_symmetry_space_group_name_Hall 'P 1'
_cell_length_a 8.044
_cell_length_b 4.641
_cell_length_c 8.373
_cell_angle_alpha 90.00
_cell_angle_beta 108.53
_cell_angle_gamma 90.00
loop_
_atom_site_label
_atom_site_type_symbol
_atom_site_fract_x
_atom_site_fract_y
_atom_site_fract_z
Na1 Na 0.000 0.000 0.000
Li1 Li 0.500 0.500 0.000
In1 In 0.000 0.500 0.500
In2 In 0.500 0.000 0.500
I1 I 0.250 0.500 0.218
I2 I 0.271 0.000 0.786
I3 I 0.729 0.000 0.214
I4 I 0.750 0.500 0.782
```

Values from the calculation:
Crystal system: monoclinic
Symmetry: P2/m

***

# 2
# Na2LiInI6

An optimized crystal structure of Na2LiInI6 (GGA-PBE, Alexandria).

```
data_Na2LiInI6
_chemical_formula_sum 'Na2 Li1 In1 I6'
_symmetry_space_group_name_H-M 'P 1'
_symmetry_Int_Tables_number 1
_symmetry_space_group_name_Hall 'P 1'
_cell_length_a 8.868
_cell_length_b 8.868
_cell_length_c 8.868
_cell_angle_alpha 50.93
_cell_angle_beta 50.93
_cell_angle_gamma 50.93
loop_
_atom_site_label
_atom_site_type_symbol
_atom_site_fract_x
_atom_site_fract_y
_atom_site_fract_z
Na1 Na 0.000 0.000 0.000
Na2 Na 0.499 0.499 0.499
Li1 Li 0.668 0.668 0.668
In1 In 0.328 0.328 0.328
I1 I 0.082 0.709 0.424
I2 I 0.267 0.573 0.927
I3 I 0.424 0.082 0.709
I4 I 0.573 0.927 0.267
I5 I 0.709 0.424 0.082
I6 I 0.927 0.267 0.573
```

Values from the calculation:
Crystal system: trigonal
Symmetry: R3

***

# 3
# Na2LiInI4

An optimized crystal structure of Na2LiInI4 (GGA-PBE, Alexandria).

```
data_Na2LiInI4
_chemical_formula_sum 'Na4 Li2 In2 I8'
_symmetry_space_group_name_H-M 'P 1'
_symmetry_Int_Tables_number 1
_symmetry_space_group_name_Hall 'P 1'
_cell_length_a 8.106
_cell_length_b 8.106
_cell_length_c 16.210
_cell_angle_alpha 90.00
_cell_angle_beta 90.00
_cell_angle_gamma 146.90
loop_
_atom_site_label
_atom_site_type_symbol
_atom_site_fract_x
_atom_site_fract_y
_atom_site_fract_z
Na1 Na 0.127 0.873 0.554
Na2 Na 0.127 0.873 0.946
Na3 Na 0.873 0.127 0.054
Na4 Na 0.873 0.127 0.446
Li1 Li 0.346 0.654 0.250
Li2 Li 0.654 0.346 0.750
In1 In 0.375 0.625 0.750
In2 In 0.625 0.375 0.250
I1 I 0.056 0.944 0.750
I2 I 0.234 0.766 0.119
I3 I 0.234 0.766 0.381
I4 I 0.500 0.500 0.000
I5 I 0.500 0.500 0.500
I6 I 0.766 0.234 0.619
I7 I 0.766 0.234 0.881
I8 I 0.944 0.056 0.250
```

Values from the calculation:
Crystal system: orthorhombic
Symmetry: Cmcm

***

# 4
# NaLiIn2I

An optimized crystal structure of NaLiIn2I (GGA-PBE, Alexandria).

```
data_NaLiIn2I
_chemical_formula_sum 'Na1 Li1 In2 I1'
_symmetry_space_group_name_H-M 'P 1'
_symmetry_Int_Tables_number 1
_symmetry_space_group_name_Hall 'P 1'
_cell_length_a 5.157
_cell_length_b 5.157
_cell_length_c 6.096
_cell_angle_alpha 90.00
_cell_angle_beta 90.00
_cell_angle_gamma 90.00
loop_
_atom_site_label
_atom_site_type_symbol
_atom_site_fract_x
_atom_site_fract_y
_atom_site_fract_z
Na1 Na 0.000 0.000 0.000
Li1 Li 0.000 0.000 0.500
In1 In 0.000 0.500 0.500
In2 In 0.500 0.000 0.500
I1 I 0.500 0.500 0.000
```

Values from the calculation:
Crystal system: tetragonal
Symmetry: P4/mmm

***

| no. | mass density (g/cm3) | spin magnetization (μB per formula unit) | raw formation energy (meV per atom) |
| --- | --- | --- | --- |
| 1 | 4.30 | 0.00 | -812.3 |
| 2 | 3.98 | 0.00 | -921.5 |
| 3 | 3.86 | 0.00 | -1022.4 |
| 4 | 3.96 | 0.00 | -99.2 |